PBE-GGA Tb2SmDySe4, optimized geometry; E_tot = -46.7 eV/cell; calculated density = 8.00 g/cm3
1.0
7.119 0.000 0.000
0.000 4.061 0.000
-2.322 0.000 6.792
Tb Sm Dy Se
2 1 1 4
direct
0.000 0.000 0.000
0.000 0.500 0.500
0.500 0.000 0.500
0.500 0.500 0.000
0.246 0.500 0.245
0.249 0.000 0.754
0.751 0.000 0.246
0.754 0.500 0.755